# Ti3VO, optimized geometry, DFT PBE+U
# mass density: 4.87 Mg/m³
# VASP energy: -8.011 eV per atom
# total magnetic moment: 1.62 Bohr magnetons per cell
data_Ti3VO
_cell_length_a 4.1551
_cell_length_b 4.1551
_cell_length_c 4.1551
_cell_angle_alpha 90.00
_cell_angle_beta 90.00
_cell_angle_gamma 90.00
_space_group_name_H-M_alt 'P m -3 m'
_space_group_IT_number 221
_space_group_name_Hall '-P 4 2 3'
loop_
_atom_site_label
_atom_site_fract_x
_atom_site_fract_y
_atom_site_fract_z
Ti1 0.0000 0.0000 0.5000
V1 0.5000 0.5000 0.5000
O1 0.0000 0.0000 0.0000